Entry from the Open Quantum Materials Database: a relaxed SrAgSe2O6 crystal (PBE).

Summary:
**Raw total energy**: -53.1 eV per formula unit

```
20
Lattice="3.960 -2.677 0.000 3.960 2.677 0.000 -0.205 0.000 15.221" Properties=species:S:1:pos:R:3 pbc="T T T"
Sr 3.806 2.329 11.416
Sr 3.909 -2.329 3.805
Ag 0.000 0.000 0.000
Ag -0.103 0.000 7.611
Se 2.680 0.008 13.673
Se 2.782 -0.008 6.062
Se 4.933 0.008 9.159
Se 5.036 -0.008 1.549
O 3.601 1.509 5.843
O 2.212 0.362 12.086
O 4.217 1.509 1.767
O 3.528 1.057 9.002
O 4.084 1.057 13.830
O 2.315 -0.362 4.476
O 5.400 0.362 10.746
O 3.631 -1.057 1.391
O 4.187 -1.057 6.220
O 3.498 -1.509 13.454
O 5.503 -0.362 3.135
O 4.114 -1.509 9.378
```